# 1
Material: Ba3FeCu
Method: DFT, PBE
State: relaxed

Structure (POSCAR):
```
Ba3FeCu
1.0
5.7236 0.0000 0.0000
0.0000 5.7236 0.0000
0.0000 0.0000 5.7236
Ba Fe Cu
3 1 1
Cartesian
0.0000 0.0000 2.8618
0.0000 2.8618 0.0000
2.8618 0.0000 0.0000
0.0000 0.0000 0.0000
2.8618 2.8618 2.8618
```

Output
For the density of states at the Fermi level, the calculation gives 7.2 states/eV/cell. The calculation puts the formation energy at 2.9 eV/f.u. As for the volume: 37.50 A^3/atom. For the theoretical density, the calculation gives 4.7 Mg/m³. The distance to the lowest polymorph of the same formula is 0 meV per atom.


# 2
Material: BaFe2Cu
Method: DFT, PBE
State: relaxed

Structure (POSCAR):
```
BaFe2Cu
1.0
-2.3468 2.3468 8.6636
2.3468 -2.3468 8.6636
2.3468 2.3468 -8.6636
Ba Fe Cu
2 4 2
Cartesian
2.3468 1.1734 2.1659
0.0000 1.1734 6.4977
0.0000 0.0000 0.0000
1.1734 1.1734 -4.3318
1.1734 -1.1734 4.3318
0.0000 2.3468 0.0000
2.3468 -1.1734 6.4977
0.0000 3.5202 2.1659
```

Output
For the density of states at the Fermi level, the calculation gives 8.1 states/eV/cell. The calculation puts the formation energy at 2.5 eV/f.u. As for the volume: 23.86 A^3/atom. For the theoretical density, the calculation gives 5.4 Mg/m³.


# 3
Material: BaFe2Cu
Method: DFT, PBE
State: relaxed

Structure (POSCAR):
```
BaFe2Cu
1.0
3.5790 -2.0664 0.0000
3.5790 2.0664 0.0000
-2.3785 0.0000 5.6808
Ba Fe Cu
1 2 1
Cartesian
0.0000 0.0000 0.0000
2.3855 0.0000 2.6220
4.7704 0.0000 2.5038
-0.0011 0.0000 3.1827
```

Output
For the density of states at the Fermi level, the calculation gives 6.0 states/eV/cell. The calculation puts the formation energy at 1.5 eV/f.u. As for the volume: 21.01 A^3/atom. For the theoretical density, the calculation gives 6.2 Mg/m³.


# 4
Material: BaFe2Cu
Method: DFT, PBE
State: relaxed

Structure (POSCAR):
```
BaFe2Cu
1.0
-1.5285 2.5375 5.0071
1.5285 -2.5375 5.0071
1.5285 2.5375 -5.0071
Ba Fe Cu
1 2 1
Cartesian
0.0000 0.0000 0.0000
1.5285 0.0000 2.8862
0.0000 2.5375 2.1209
0.0000 0.0000 5.0071
```

Output
For the density of states at the Fermi level, the calculation gives 4.9 states/eV/cell. The calculation puts the formation energy at 3.3 eV/f.u. As for the volume: 19.42 A^3/atom. For the theoretical density, the calculation gives 6.7 Mg/m³.